Below is crystalline HgSbAs2 at its relaxed geometry, with properties calculated at the PBE level.

abc: 6.714 6.714 4.940
angles: 74.43 74.43 30.60
Element x y z (fractional)
Sb 0.259 0.259 0.181
As 0.706 0.706 0.733
As 0.079 0.079 0.022
Hg 0.456 0.456 0.564

Results
- distance to the lowest polymorph of the same formula (eV/f.u.) = 0.25
- space group = No. 8
- energy relative to the elements, uncorrected (eV/atom) = 0.184

Below is crystalline HgSbAs2 at its relaxed geometry, with properties calculated at the PBE level.

abc: 5.052 5.052 5.052
angles: 60.00 60.00 60.00
Element x y z (fractional)
As 0.750 0.750 0.750
As 0.250 0.250 0.250
Sb 0.000 0.000 0.000
Hg 0.500 0.500 0.500

Results
- distance to the lowest polymorph of the same formula (eV/f.u.) = 0.99
- space group = No. 225
- energy relative to the elements, uncorrected (eV/atom) = 0.369

Below is crystalline HgSbAs2 at its relaxed geometry, with properties calculated at the PBE level.

abc: 4.036 4.036 7.177
angles: 73.38 73.38 60.37
Element x y z (fractional)
As 0.999 0.999 0.004
As 0.501 0.501 0.496
Hg 0.750 0.750 0.750
Sb 0.250 0.250 0.250

Results
- distance to the lowest polymorph of the same formula (eV/f.u.) = 0.00
- space group = No. 12
- energy relative to the elements, uncorrected (eV/atom) = 0.121

Below is crystalline HgSbAs2 at its relaxed geometry, with properties calculated at the PBE level.

abc: 4.013 3.763 7.867
angles: 90.00 90.00 90.00
Element x y z (fractional)
As 0.000 0.000 0.906
As 0.000 0.000 0.594
Hg 0.500 0.500 0.250
Sb 0.500 0.500 0.750

Results
- distance to the lowest polymorph of the same formula (eV/f.u.) = 0.47
- space group = No. 47
- energy relative to the elements, uncorrected (eV/atom) = 0.239

Below is crystalline HgSbAs2 at its relaxed geometry, with properties calculated at the PBE level.

abc: 10.689 10.689 10.689
angles: 17.04 17.04 17.04
Element x y z (fractional)
As 0.001 0.001 0.001
As 0.499 0.499 0.499
Sb 0.750 0.750 0.750
Hg 0.250 0.250 0.250

Results
- distance to the lowest polymorph of the same formula (eV/f.u.) = 1.21
- space group = No. 166
- energy relative to the elements, uncorrected (eV/atom) = 0.424

Below is crystalline Hg2SbAs2 at its relaxed geometry, with properties calculated at the PBE level.

abc: 8.049 8.049 3.791
angles: 90.00 90.00 90.00
Element x y z (fractional)
As 0.805 0.695 0.000
As 0.305 0.805 0.000
As 0.695 0.195 0.000
As 0.195 0.305 0.000
Hg 0.126 0.626 0.500
Hg 0.626 0.874 0.500
Hg 0.874 0.374 0.500
Hg 0.374 0.126 0.500
Sb 0.000 0.000 0.000
Sb 0.500 0.500 0.000

Results
- distance to the lowest polymorph of the same formula (eV/f.u.) = 0.17
- space group = No. 127
- energy relative to the elements, uncorrected (eV/atom) = 0.286

Below is crystalline Hg3SbAs at its relaxed geometry, with properties calculated at the PBE level.

abc: 5.645 5.645 5.645
angles: 90.00 90.00 90.00
Last column: magnetic moment on the atom in μB.
Element x y z (fractional)
Hg 0.500 0.000 0.000  0.02
Hg 0.000 0.000 0.500  0.01
Hg 0.000 0.500 0.000  0.01
Sb 0.000 0.000 0.000  0.02
As 0.500 0.500 0.500  0.79

Results
- distance to the lowest polymorph of the same formula (eV/f.u.) = 0.79
- space group = No. 221
- energy relative to the elements, uncorrected (eV/atom) = 0.580

Below is crystalline HgSbAs2 at its relaxed geometry, with properties calculated at the PBE level.

abc: 3.650 2.953 9.764
angles: 107.02 90.00 90.00
Element x y z (fractional)
As 0.000 0.028 0.029
As 0.500 0.208 0.218
Sb 0.500 0.772 0.765
Hg 0.000 0.492 0.488

Results
- distance to the lowest polymorph of the same formula (eV/f.u.) = 0.08
- space group = No. 6
- energy relative to the elements, uncorrected (eV/atom) = 0.142

Below is crystalline HgSb2As2 at its relaxed geometry, with properties calculated at the PBE level.

abc: 8.164 8.164 3.832
angles: 90.00 90.00 90.00
Element x y z (fractional)
As 0.322 0.822 0.000
As 0.178 0.322 0.000
As 0.678 0.178 0.000
As 0.822 0.678 0.000
Hg 0.500 0.500 0.000
Hg 0.000 0.000 0.000
Sb 0.153 0.653 0.500
Sb 0.847 0.347 0.500
Sb 0.653 0.847 0.500
Sb 0.347 0.153 0.500

Results
- distance to the lowest polymorph of the same formula (eV/f.u.) = 0.41
- space group = No. 127
- energy relative to the elements, uncorrected (eV/atom) = 0.245

Below is crystalline Hg2SbAs2 at its relaxed geometry, with properties calculated at the PBE level.

abc: 9.334 9.334 9.334
angles: 156.86 156.86 32.95
Element x y z (fractional)
Hg 0.398 0.398 0.000
Hg 0.602 0.602 0.000
Sb 0.000 0.000 0.000
As 0.750 0.250 0.500
As 0.250 0.750 0.500

Results
- distance to the lowest polymorph of the same formula (eV/f.u.) = 0.26
- space group = No. 139
- energy relative to the elements, uncorrected (eV/atom) = 0.303

Below is crystalline HgSbAs2 at its relaxed geometry, with properties calculated at the PBE level.

abc: 6.263 6.263 7.797
angles: 66.32 66.32 90.00
Element x y z (fractional)
Sb 0.500 0.500 0.000
Sb 0.250 0.750 0.500
Hg 0.750 0.250 0.500
Hg 0.000 0.000 0.000
As 0.875 0.877 0.750
As 0.375 0.373 0.750
As 0.123 0.625 0.250
As 0.627 0.125 0.250

Results
- distance to the lowest polymorph of the same formula (eV/f.u.) = 0.28
- space group = No. 122
- energy relative to the elements, uncorrected (eV/atom) = 0.192

Below is crystalline Hg3SbAs at its relaxed geometry, with properties calculated at the PBE level.

abc: 5.334 5.334 5.334
angles: 90.00 90.00 90.00
Last column: magnetic moment on the atom in μB.
Element x y z (fractional)
Hg 0.000 0.000 0.500  0.02
Hg 0.500 0.000 0.000  0.03
Hg 0.000 0.500 0.000  0.03
As 0.000 0.000 0.000  0.07
Sb 0.500 0.500 0.500  0.47

Results
- distance to the lowest polymorph of the same formula (eV/f.u.) = 0.00
- space group = No. 221
- energy relative to the elements, uncorrected (eV/atom) = 0.421

Below is crystalline HgSbAs at its relaxed geometry, with properties calculated at the PBE level.

abc: 3.477 8.890 5.842
angles: 98.92 107.31 90.00
Element x y z (fractional)
Hg 0.901 0.684 0.801
Hg 0.099 0.316 0.199
As 0.330 0.013 0.660
As 0.670 0.987 0.340
Sb 0.366 0.322 0.732
Sb 0.634 0.678 0.268

Results
- distance to the lowest polymorph of the same formula (eV/f.u.) = 0.19
- space group = No. 12
- energy relative to the elements, uncorrected (eV/atom) = 0.094

Below is crystalline HgSbAs at its relaxed geometry, with properties calculated at the PBE level.

abc: 5.203 5.203 3.113
angles: 90.00 90.00 120.00
Element x y z (fractional)
As 0.000 0.000 0.831
Sb 0.333 0.667 0.832
Hg 0.667 0.333 0.337

Results
- distance to the lowest polymorph of the same formula (eV/f.u.) = 0.61
- space group = No. 156
- energy relative to the elements, uncorrected (eV/atom) = 0.232

Below is crystalline HgSbAs2 at its relaxed geometry, with properties calculated at the PBE level.

abc: 8.809 8.809 8.809
angles: 24.00 24.00 24.00
Element x y z (fractional)
As 0.988 0.988 0.988
As 0.265 0.265 0.265
Hg 0.506 0.506 0.506
Sb 0.741 0.741 0.741

Results
- distance to the lowest polymorph of the same formula (eV/f.u.) = 0.12
- space group = No. 160
- energy relative to the elements, uncorrected (eV/atom) = 0.152

Below is crystalline Hg2SbAs2 at its relaxed geometry, with properties calculated at the PBE level.

abc: 4.063 4.063 8.795
angles: 76.64 76.64 90.00
Element x y z (fractional)
As 0.573 0.573 0.854
As 0.427 0.427 0.146
Hg 0.750 0.250 0.500
Hg 0.250 0.750 0.500
Sb 0.000 0.000 0.000

Results
- distance to the lowest polymorph of the same formula (eV/f.u.) = 0.00
- space group = No. 139
- energy relative to the elements, uncorrected (eV/atom) = 0.252

Below is crystalline HgSb4As at its relaxed geometry, with properties calculated at the PBE level.

abc: 6.212 6.212 6.212
angles: 60.00 60.00 60.00
Element x y z (fractional)
As 0.750 0.750 0.750
Sb 0.375 0.375 0.375
Sb 0.375 0.874 0.375
Sb 0.375 0.375 0.874
Sb 0.874 0.375 0.375
Hg 0.000 0.000 0.000

Results
- space group = No. 216
- energy relative to the elements, uncorrected (eV/atom) = 0.473

Below is crystalline HgSbAs2 at its relaxed geometry, with properties calculated at the PBE level.

abc: 6.094 6.094 6.094
angles: 143.82 134.99 59.06
Element x y z (fractional)
Hg 0.750 0.250 0.500
Sb 0.250 0.750 0.500
As 0.032 0.032 0.000
As 0.468 0.468 0.000

Results
- distance to the lowest polymorph of the same formula (eV/f.u.) = 0.94
- space group = No. 71
- energy relative to the elements, uncorrected (eV/atom) = 0.357

Below is crystalline HgSb2As2 at its relaxed geometry, with properties calculated at the PBE level.

abc: 8.142 8.142 3.746
angles: 90.00 90.00 90.00
Element x y z (fractional)
As 0.355 0.145 0.500
As 0.855 0.355 0.500
As 0.145 0.645 0.500
As 0.645 0.855 0.500
Sb 0.849 0.651 0.000
Sb 0.151 0.349 0.000
Sb 0.651 0.151 0.000
Sb 0.349 0.849 0.000
Hg 0.500 0.500 0.000
Hg 0.000 0.000 0.000

Results
- distance to the lowest polymorph of the same formula (eV/f.u.) = 0.44
- space group = No. 127
- energy relative to the elements, uncorrected (eV/atom) = 0.251

Below is crystalline HgSbAs at its relaxed geometry, with properties calculated at the PBE level.

abc: 4.071 4.071 5.839
angles: 90.00 90.00 120.00
Element x y z (fractional)
Sb 0.333 0.667 0.714
As 0.000 0.000 0.963
Hg 0.667 0.333 0.322

Results
- distance to the lowest polymorph of the same formula (eV/f.u.) = 0.04
- space group = No. 156
- energy relative to the elements, uncorrected (eV/atom) = 0.042